Compound: Be3Br
Source: Alexandria via LeMat-Bulk
Functional: PBE
Structure: optimized geometry

## Properties
Energy relative to the lowest polymorph listed for this composition, kJ per mole of atoms: 46.3
DOS at the Fermi energy, states/eV per atom: 0.300
DFT total energy, eV per atom: -2.5426
Total magnetization, μB/f.u.: 0.00
Crystal system: trigonal
Energy relative to the elements, uncorrected, eV per atom: 0.670

a = 3.0783 Å, b = 3.0783 Å, c = 20.0276 Å
α = 90.00°, β = 90.00°, γ = 120.00°
Closest atoms and distances in Å follow each position.
Space group R-3m (No. 166, hexagonal axes)
Unique sites:
Be 0.0000 0.0000 0.0000 [3 per cell]  6 Be 2.34
Be 0.0000 0.0000 0.2575 [6 per cell]  3 Be 2.34, 3 Br 2.54
Br 0.0000 0.0000 0.5000 [3 per cell]  6 Be 2.54